1.
4
Lattice="3.4485 0.0000 0.0000 0.0000 3.4485 0.0000 0.0000 0.0000 7.8699" Properties=species:S:1:pos:R:3 comment="LiPuTlSn (PBE, relaxed)" ef_ev_per_atom=-0.249 n_ef_per_ev_fu=7.52 polymorph_energy_ev_per_atom=0.000 pbc="T T T"
Sn 1.7243 1.7243 2.8205
Tl 1.7243 1.7243 6.1627
Pu 0.0000 0.0000 0.6073
Li 0.0000 0.0000 4.4548

2.
4
Lattice="4.1072 0.0000 0.0000 0.0000 4.0045 0.0000 0.0000 0.0000 4.0045" Properties=species:S:1:pos:R:3 comment="Nb2ZnPt (PBE, relaxed)" ef_ev_per_atom=-0.342 n_ef_per_ev_fu=3.58 pbc="T T T"
Pt 2.0536 0.0000 0.0000
Nb 0.0000 0.0000 2.0022
Nb 0.0000 2.0022 0.0000
Zn 2.0536 2.0022 2.0022

3.
6
Lattice="5.4745 0.0000 0.0000 2.7372 4.7410 0.0000 2.7372 1.5803 4.4699" Properties=species:S:1:pos:R:3 comment="PmHfAl4 (PBE, relaxed)" ef_ev_per_atom=-0.415 n_ef_per_ev_fu=2.41 pbc="T T T"
Al 4.1000 3.9542 2.7960
Al 5.4745 1.5736 2.7960
Al 5.4745 3.1607 0.5516
Al 6.8489 3.9542 2.7960
Hf 0.0000 0.0000 0.0000
Pm 2.7372 1.5803 1.1175

4.
4
Lattice="4.8602 0.0000 0.0000 2.4301 4.2091 0.0000 2.4301 1.4030 6.6190" Properties=species:S:1:pos:R:3 comment="CsSnAu2 (PBE, relaxed)" ef_ev_per_atom=-0.263 n_ef_per_ev_fu=0.53 pbc="T T T"
Au 7.2903 4.2091 3.7584
Au 2.4301 1.4030 2.8605
Sn 4.8602 2.8061 3.3095
Cs 0.0000 0.0000 0.0000

5.
4
Lattice="2.2477 0.0000 6.9378 -1.1238 1.9466 6.9378 -1.1238 -1.9466 6.9378" Properties=species:S:1:pos:R:3 comment="KPdN2 (PBE, relaxed)" raw_formation_energy_ev_per_atom=1.343 n_ef_per_ev_fu=1.43 polymorph_energy_ev_per_atom=1.301 pbc="T T T"
N 0.0000 0.0000 19.0403
N 0.0000 0.0000 1.7731
Pd 0.0000 0.0000 0.0000
K 0.0000 0.0000 10.4067

6.
10
Lattice="5.9261 0.0000 0.0000 2.9631 5.1322 0.0000 2.9631 1.7107 4.8386" Properties=species:S:1:pos:R:3 comment="K2TlIO6 (PBE, relaxed)" raw_formation_energy_ev_per_atom=-0.829 n_ef_per_ev_fu=5.95 pbc="T T T"
O 4.3182 2.4931 3.7321
O 7.5340 2.4931 3.7321
O 5.9261 1.5648 1.1065
O 5.9261 5.2780 3.7321
O 4.3182 4.3497 1.1065
O 7.5340 4.3497 1.1065
K 8.8892 5.1322 3.6290
K 2.9631 1.7107 1.2097
I 0.0000 0.0000 0.0000
Tl 5.9261 3.4214 2.4193

7.
5
Lattice="-3.9087 1.2601 -0.2300 -1.0431 -3.5598 -1.7772 -0.7743 -1.6981 3.8555" Properties=species:S:1:pos:R:3 comment="TaTi2FeC (PBE, relaxed)" ef_ev_per_atom=-0.224 n_ef_per_ev_fu=2.93 pbc="T T T"
C 0.0000 -0.0001 0.0000
Fe -2.8633 -1.9993 0.9248
Ti -3.7717 -4.6276 1.9630
Ti -1.2958 -3.4778 2.9665
Ta -1.4302 -4.4088 0.1505

8.
4
Lattice="5.7477 0.0000 0.0000 2.8739 4.9777 0.0000 2.8739 1.6592 4.6930" Properties=species:S:1:pos:R:3 comment="PrGd3 (PBE, relaxed)" ef_ev_per_atom=0.097 n_ef_per_ev_fu=6.97 polymorph_energy_ev_per_atom=0.092 pbc="T T T"
Pr 5.7477 3.3185 2.3465
Gd 8.6216 4.9777 3.5197
Gd 0.0000 0.0000 0.0000
Gd 2.8739 1.6592 1.1732

9.
20
Lattice="-6.3591 -4.9969 -3.4607 6.4215 -3.6925 -4.7449 1.2331 -5.2100 6.9799" Properties=species:S:1:pos:R:3 comment="Tb7Sm12Ho (PBE, relaxed)" ef_ev_per_atom=0.274 n_ef_per_ev_fu=22.20 polymorph_energy_ev_per_atom=0.025 pbc="T T T"
Sm 4.0464 -5.3232 -1.9961
Sm -1.5910 -5.0914 0.5323
Sm -2.5264 -5.8635 -2.8162
Sm -2.7509 -8.5762 0.7705
Sm 2.3118 -4.7575 0.8710
Sm 0.6694 -9.2977 1.4519
Sm 0.0965 -6.1568 3.2830
Sm 1.1990 -7.7426 -4.5086
Sm 3.8219 -8.0359 1.5906
Sm 0.6260 -4.6017 -2.6775
Sm -1.0163 -9.1420 -2.0966
Sm 2.8864 -8.8081 -1.7579
Tb 0.6477 -6.9497 -0.6128
Tb 0.4541 -11.6561 -3.1961
Tb -0.4418 -12.0728 0.5822
Tb 3.2832 -11.6298 -0.5040
Tb 0.8413 -2.2433 1.9705
Tb 1.7373 -1.8267 -1.8078
Tb -1.9878 -2.2696 -0.7216
Ho 0.0000 0.0000 0.0000

10.
18
Lattice="-4.7401 -0.3470 2.5692 6.2304 -4.7846 5.1680 2.2624 8.7276 5.3526" Properties=species:S:1:pos:R:3 comment="Na2LiTl5Pb (PBE, relaxed)" ef_ev_per_atom=-0.084 n_ef_per_ev_fu=4.22 pbc="T T T"
Na 2.4379 2.9550 10.5775
Na 1.1353 -2.1194 7.4889
Na 2.4805 5.1870 5.2768
Na 1.5398 1.5092 3.0447
Pb 1.0235 1.3723 7.7543
Pb 1.6321 -2.0086 2.7399
Tl 2.4833 -0.4800 10.1974
Tl -1.7798 2.0679 2.6764
Tl 3.0095 -0.2583 5.5174
Tl -0.4087 3.2244 5.3621
Tl -0.3537 -0.3885 4.9755
Tl 3.8989 3.1837 7.6231
Tl 3.0692 -3.8416 5.1438
Tl 1.0150 4.9026 8.2153
Tl 5.5680 1.6650 10.4974
Tl 0.1811 -0.1223 0.3176
Li -1.6889 -0.9682 2.4339
Li 4.3416 0.3206 8.0533

11.
5
Lattice="6.3835 0.0000 0.0000 0.0000 6.3835 0.0000 0.0000 0.0000 6.3835" Properties=species:S:1:pos:R:3 comment="CsBa3Ir (PBE, relaxed)" ef_ev_per_atom=0.012 n_ef_per_ev_fu=4.56 polymorph_energy_ev_per_atom=0.037 pbc="T T T"
Ba 0.0000 3.1917 0.0000
Ba 3.1917 0.0000 0.0000
Ba 0.0000 0.0000 3.1917
Cs 3.1917 3.1917 3.1917
Ir 0.0000 0.0000 0.0000

12.
19
Lattice="-3.6644 7.2364 4.9253 -2.3492 -5.1138 -5.0635 -2.7748 -1.7524 5.4828" Properties=species:S:1:pos:R:3 comment="Ag5H2Pd12 (PBE, relaxed)" energy_ry_per_atom=-0.325 n_ef_per_ev_fu=22.22 pbc="T T T"
Pd -3.9407 1.8453 6.1035
Pd -6.4324 4.5255 9.3288
Pd -5.0416 4.3750 5.5928
Pd -2.3561 -4.1553 -3.9842
Pd -4.8943 0.5214 1.4442
Pd -3.8941 -0.1512 3.9003
Pd -6.3195 -1.3582 3.0664
Pd -6.3798 2.5729 7.2700
Pd -2.4087 -2.2027 -1.9254
Pd -4.8478 -1.4752 -0.7589
Pd -3.7469 -4.0048 -0.2482
Pd -2.4690 1.7284 2.2781
Ag -1.3874 -0.8762 2.7414
Ag -4.9370 2.4726 3.4894
Ag -6.3436 0.6067 5.1940
Ag -3.8514 -2.1024 1.8551
Ag -2.4449 -0.2365 0.1505
H -5.7780 -0.1230 0.0103
H -3.0105 0.4932 5.3343